Entry 1:
{
  "formula": "RbMo9S9",
  "functional": "GGA-PBE",
  "state": "optimized geometry",
  "total_magnetization_mub_per_cell": 0.0,
  "space_group": "P6_3/m",
  "final_energy_ev_per_cell": -296.140,
  "lattice_angstrom": [[-5.5081, -6.1028, -4.3935], [7.8627, 2.9394, -4.0525], [6.5537, -9.8999, 5.5350]],
  "species": ["S", "S", "S", "S", "S", "S", "S", "S", "S", "S", "S", "S", "S", "S", "S", "S", "S", "S", "Mo", "Mo", "Mo", "Mo", "Mo", "Mo", "Mo", "Mo", "Mo", "Mo", "Mo", "Mo", "Mo", "Mo", "Mo", "Mo", "Mo", "Mo", "Rb", "Rb"],
  "fractional_positions": [[0.3304, 0.2822, 0.7500], [0.3313, 0.2804, 0.4162], [0.0509, 0.3313, 0.9162], [0.0482, 0.3304, 0.2500], [0.9518, 0.6696, 0.7500], [0.7178, 0.0482, 0.7500], [0.9491, 0.6687, 0.4162], [0.2804, 0.9491, 0.9162], [0.7196, 0.0509, 0.0838], [0.2822, 0.9518, 0.2500], [0.7196, 0.0509, 0.4162], [0.9491, 0.6687, 0.0838], [0.6696, 0.7178, 0.2500], [0.2804, 0.9491, 0.5838], [0.3313, 0.2804, 0.0838], [0.6687, 0.7196, 0.9162], [0.6687, 0.7196, 0.5838], [0.0509, 0.3313, 0.5838], [0.1549, 0.9724, 0.4168], [0.8190, 0.8456, 0.7500], [0.8175, 0.8451, 0.0832], [0.0265, 0.1810, 0.7500], [0.8175, 0.8451, 0.4168], [0.8451, 0.0276, 0.5832], [0.0276, 0.1825, 0.0832], [0.1825, 0.1549, 0.9168], [0.9735, 0.8190, 0.2500], [0.9724, 0.8175, 0.9168], [0.1544, 0.9735, 0.7500], [0.1810, 0.1544, 0.2500], [0.1549, 0.9724, 0.0832], [0.8451, 0.0276, 0.9168], [0.0276, 0.1825, 0.4168], [0.8456, 0.0265, 0.2500], [0.1825, 0.1549, 0.5832], [0.9724, 0.8175, 0.5832], [0.6667, 0.3333, 0.2500], [0.3333, 0.6667, 0.7500]]
}



Entry 2:
{
  "formula": "CsMn3Se",
  "functional": "GGA-PBE",
  "state": "optimized geometry",
  "relative_energy_mev_per_atom": 1362,
  "total_magnetization_mub_per_cell": 11.2,
  "space_group": "Pm-3m",
  "final_energy_ev_per_cell": -20.855,
  "lattice_angstrom": [[-0.5160, -2.1203, 4.5952], [-0.7867, -4.5293, -2.1782], [4.9993, -0.9316, 0.1315]],
  "species": ["Mn", "Mn", "Mn", "Se", "Cs"],
  "fractional_positions": [[0.0000, 0.0000, 0.5000], [0.5000, 0.0000, 0.0000], [0.0000, 0.5000, 0.0000], [0.5000, 0.5000, 0.5000], [0.0000, 0.0000, 0.0000]]
}



| no. | raw formation energy (meV per atom) |
| --- | --- |
| 1 | -657 |
| 2 | 2198 |